[1]
# AlV2PRu | Alexandria | PBE | optimized geometry
data_AlV2PRu
_symmetry_space_group_name_H-M 'P 4/m m m'
_symmetry_Int_Tables_number 123
_symmetry_space_group_name_Hall '-P 4 2'
_cell_length_a 4.249
_cell_length_b 4.249
_cell_length_c 4.416
_cell_angle_alpha 90.00
_cell_angle_beta 90.00
_cell_angle_gamma 90.00
loop_
_atom_site_label
_atom_site_type_symbol
_atom_site_fract_x
_atom_site_fract_y
_atom_site_fract_z
_atom_site_occupancy
Al1 Al 0.000 0.000 0.000 1
V1 V 0.000 0.500 0.500 1
P1 P 0.000 0.000 0.500 1
Ru1 Ru 0.500 0.500 0.000 1
# * polymorph energy (0 for the lowest one): 0 meV/atom
# * DOS at the Fermi energy: 1.461 states/eV/atom
# * raw total energy: -34.2 eV per formula unit
# * ΔE_f: 0.501 eV/atom
# * volume: 15.95 Å³/atom



[2]
# AlV2PRu | Alexandria | PBE | optimized geometry
data_AlV2PRu
_symmetry_space_group_name_H-M 'P 4/m m m'
_symmetry_Int_Tables_number 123
_symmetry_space_group_name_Hall '-P 4 2'
_cell_length_a 4.522
_cell_length_b 4.522
_cell_length_c 4.615
_cell_angle_alpha 90.00
_cell_angle_beta 90.00
_cell_angle_gamma 90.00
loop_
_atom_site_label
_atom_site_type_symbol
_atom_site_fract_x
_atom_site_fract_y
_atom_site_fract_z
_atom_site_occupancy
Al1 Al 0.000 0.000 0.000 1
V1 V 0.000 0.500 0.500 1
P1 P 0.500 0.500 0.000 1
Ru1 Ru 0.000 0.000 0.500 1
# * polymorph energy (0 for the lowest one): 355 meV/atom
# * DOS at the Fermi energy: 1.790 states/eV/atom
# * raw total energy: -32.4 eV per formula unit
# * ΔE_f: 0.855 eV/atom
# * volume: 18.87 Å³/atom



> raw total energy of number 2 (AlV2PRu)?

-32.4 eV per formula unit



> What is the formula in the second record?

AlV2PRu



> Look up the DOS at the Fermi energy of the second one.

1.790 states/eV/atom